Entry 1:
Entry from the Alexandria database: a relaxed structure of CdPd2Au (PBE-GGA).

Values from the calculation:
**Crystal system**: tetragonal
**SG**: No. 122
**Size of the total moment**: 0.00 μB per formula unit
**Final energy**: -3.61 eV per atom
**Energy of formation from the pure elements**: 0.032 eV per atom
**DOS(E_F)**: 5.71 states/eV per cell

CIF file:
```
data_CdPd2Au
_cell_length_a 10.0274
_cell_length_b 10.0274
_cell_length_c 10.0274
_cell_angle_alpha 157.27
_cell_angle_beta 157.27
_cell_angle_gamma 32.36
_space_group_name_H-M_alt 'P 1'
_space_group_IT_number 1
_space_group_name_Hall 'P 1'
loop_
_atom_site_label
_atom_site_type_symbol
_atom_site_fract_x
_atom_site_fract_y
_atom_site_fract_z
Cd1 Cd 0.0000 0.0000 0.0000
Cd2 Cd 0.7500 0.2500 0.5000
Pd1 Pd 0.1300 0.6250 0.0050
Pd2 Pd 0.3750 0.3800 0.5050
Pd3 Pd 0.6200 0.1250 0.9950
Pd4 Pd 0.8750 0.8700 0.4950
Au1 Au 0.2500 0.7500 0.5000
Au2 Au 0.5000 0.5000 0.0000
```



Entry 2:
Entry from the Alexandria database: a relaxed structure of GdTm2In (PBE-GGA).

Values from the calculation:
**Crystal system**: tetragonal
**Relative energy among the computed polymorphs**: 0.000 eV/f.u.
**SG**: No. 123
**Size of the total moment**: 7.90 μB per formula unit
**Final energy**: -6.71 eV per atom
**Energy of formation from the pure elements**: -0.270 eV per atom
**DOS(E_F)**: 4.30 states/eV per cell

CIF file:
```
data_GdTm2In
_cell_length_a 4.8259
_cell_length_b 4.8259
_cell_length_c 4.7849
_cell_angle_alpha 90.00
_cell_angle_beta 90.00
_cell_angle_gamma 90.00
_space_group_name_H-M_alt 'P 1'
_space_group_IT_number 1
_space_group_name_Hall 'P 1'
loop_
_atom_site_label
_atom_site_type_symbol
_atom_site_fract_x
_atom_site_fract_y
_atom_site_fract_z
Gd1 Gd 0.0000 0.0000 0.0000
Tm1 Tm 0.0000 0.5000 0.5000
Tm2 Tm 0.5000 0.0000 0.5000
In1 In 0.5000 0.5000 0.0000
```



Entry 3:
Entry from the Alexandria database: a relaxed structure of ZnGaFeCu (PBE-GGA).

Values from the calculation:
**Crystal system**: cubic
**SG**: No. 216
**Size of the total moment**: 1.85 μB per formula unit
**Final energy**: -4.20 eV per atom
**Energy of formation from the pure elements**: 0.012 eV per atom
**DOS(E_F)**: 3.71 states/eV per cell

CIF file:
```
data_ZnGaFeCu
_cell_length_a 4.1860
_cell_length_b 4.1860
_cell_length_c 4.1860
_cell_angle_alpha 60.00
_cell_angle_beta 60.00
_cell_angle_gamma 60.00
_space_group_name_H-M_alt 'P 1'
_space_group_IT_number 1
_space_group_name_Hall 'P 1'
loop_
_atom_site_label
_atom_site_type_symbol
_atom_site_fract_x
_atom_site_fract_y
_atom_site_fract_z
Zn1 Zn 0.0000 0.0000 0.0000
Ga1 Ga 0.5000 0.5000 0.5000
Fe1 Fe 0.2500 0.2500 0.2500
Cu1 Cu 0.7500 0.7500 0.7500
```



Entry 4:
Entry from the Alexandria database: a relaxed structure of Zr2CdHOs (PBE-GGA).

Values from the calculation:
**Crystal system**: tetragonal
**SG**: No. 123
**Size of the total moment**: 0.00 μB per formula unit
**Final energy**: -6.70 eV per atom
**DOS(E_F)**: 2.64 states/eV per cell

CIF file:
```
data_Zr2CdHOs
_cell_length_a 4.6930
_cell_length_b 4.6930
_cell_length_c 3.6698
_cell_angle_alpha 90.00
_cell_angle_beta 90.00
_cell_angle_gamma 90.00
_space_group_name_H-M_alt 'P 1'
_space_group_IT_number 1
_space_group_name_Hall 'P 1'
loop_
_atom_site_label
_atom_site_type_symbol
_atom_site_fract_x
_atom_site_fract_y
_atom_site_fract_z
Zr1 Zr 0.0000 0.5000 0.0000
Zr2 Zr 0.5000 0.0000 0.0000
Cd1 Cd 0.0000 0.0000 0.5000
H1 H 0.5000 0.5000 0.0000
Os1 Os 0.5000 0.5000 0.5000
```